[1]
Density functional theory data (meta-GGA SCAN) for LaCrIO2 at its PBEsol-relaxed geometry.

Computed properties:
- Space-group type: No. 123
- ρ: 4.65 Mg/m³
- Raw formation energy: -6.473 eV per formula unit
- Density of states at the Fermi level: 0.280 states/eV/atom

abc: 4.312 4.312 6.719
angles: 90.00 90.00 90.00
Element x y z (fractional)
La 0.000 0.000 0.000
Cr 0.500 0.500 0.500
I 0.000 0.000 0.500
O 0.000 0.500 0.000
O 0.500 0.000 0.000

[2]
Density functional theory data (meta-GGA SCAN) for LaCrTeI2 at its PBEsol-relaxed geometry.

Computed properties:
- Space-group type: No. 123
- ρ: 4.14 Mg/m³
- Raw formation energy: -2.378 eV per formula unit
- Density of states at the Fermi level: 0.330 states/eV/atom

abc: 6.103 6.103 6.167
angles: 90.00 90.00 90.00
Element x y z (fractional)
La 0.000 0.000 0.000
Cr 0.500 0.500 0.500
Te 0.000 0.000 0.500
I 0.000 0.500 0.000
I 0.500 0.000 0.000

[3]
Density functional theory data (meta-GGA SCAN) for LiCrI3 at its PBEsol-relaxed geometry.

Computed properties:
- Space-group type: No. 221
- ρ: 4.31 Mg/m³
- Raw formation energy: -2.951 eV per formula unit
- Density of states at the Fermi level: 0.156 states/eV/atom

abc: 5.533 5.533 5.533
angles: 90.00 90.00 90.00
Element x y z (fractional)
Li 0.000 0.000 0.000
Cr 0.500 0.500 0.500
I 0.000 0.500 0.500
I 0.500 0.000 0.500
I 0.500 0.500 0.000

[4]
Density functional theory data (meta-GGA SCAN) for Mg2CrI at its PBEsol-relaxed geometry.

Computed properties:
- Space-group type: No. 122
- ρ: 3.74 Mg/m³
- Raw formation energy: 1.065 eV per formula unit
- Density of states at the Fermi level: 0.303 states/eV/atom

abc: 8.151 8.151 6.084
angles: 90.00 90.00 90.00
Element x y z (fractional)
Mg 0.241 0.750 0.125
Mg 0.250 0.241 0.875
Mg 0.250 0.259 0.375
Mg 0.259 0.750 0.625
Mg 0.741 0.250 0.625
Mg 0.750 0.741 0.375
Mg 0.750 0.759 0.875
Mg 0.759 0.250 0.125
Cr 0.000 0.000 0.000
Cr 0.000 0.500 0.250
Cr 0.500 0.000 0.750
Cr 0.500 0.500 0.500
I 0.000 0.000 0.500
I 0.000 0.500 0.750
I 0.500 0.000 0.250
I 0.500 0.500 0.000

[5]
Density functional theory data (meta-GGA SCAN) for MgCrTe2I at its PBEsol-relaxed geometry.

Computed properties:
- Space-group type: No. 123
- ρ: 5.18 Mg/m³
- Raw formation energy: 0.116 eV per formula unit
- Density of states at the Fermi level: 0.517 states/eV/atom

abc: 5.210 5.210 5.411
angles: 90.00 90.00 90.00
Element x y z (fractional)
Mg 0.000 0.000 0.000
Cr 0.500 0.500 0.500
Te 0.000 0.500 0.500
Te 0.500 0.000 0.500
I 0.500 0.500 0.000

[6]
Density functional theory data (meta-GGA SCAN) for Mn2CrI6 at its PBEsol-relaxed geometry.

Computed properties:
- Space-group type: No. 12
- ρ: 5.27 Mg/m³
- Raw formation energy: -6.233 eV per formula unit
- Density of states at the Fermi level: 0.380 states/eV/atom

abc: 4.036 4.036 20.621
angles: 90.12 90.12 60.01
Element x y z (fractional)
Mn 0.166 0.166 0.167
Mn 0.834 0.834 0.833
Cr 0.500 0.500 0.500
I 0.166 0.166 0.423
I 0.168 0.168 0.912
I 0.500 0.500 0.248
I 0.500 0.500 0.752
I 0.832 0.832 0.088
I 0.834 0.834 0.577

[7]
Density functional theory data (meta-GGA SCAN) for MnCrIO2 at its PBEsol-relaxed geometry.

Computed properties:
- Space-group type: No. 123
- ρ: 5.52 Mg/m³
- Raw formation energy: -3.692 eV per formula unit
- Density of states at the Fermi level: 0.339 states/eV/atom

abc: 3.772 3.772 5.620
angles: 90.00 90.00 90.00
Element x y z (fractional)
Mn 0.000 0.000 0.000
Cr 0.500 0.500 0.500
I 0.000 0.000 0.500
O 0.000 0.500 0.000
O 0.500 0.000 0.000

[8]
Density functional theory data (meta-GGA SCAN) for CrSiMoI2 at its PBEsol-relaxed geometry.

Computed properties:
- Space-group type: No. 123
- ρ: 5.81 Mg/m³
- Raw formation energy: 6.645 eV per formula unit
- Density of states at the Fermi level: 0.469 states/eV/atom

abc: 5.201 5.201 4.546
angles: 90.00 90.00 90.00
Element x y z (fractional)
Cr 0.000 0.000 0.000
Si 0.500 0.500 0.500
Mo 0.000 0.000 0.500
I 0.000 0.500 0.000
I 0.500 0.000 0.000

[9]
Density functional theory data (meta-GGA SCAN) for Cr2IN at its PBEsol-relaxed geometry.

Computed properties:
- Space-group type: No. 225
- ρ: 7.83 Mg/m³
- Raw formation energy: 4.823 eV per formula unit
- Density of states at the Fermi level: 0.785 states/eV/atom

abc: 5.924 5.924 5.924
angles: 90.00 90.00 90.00
Element x y z (fractional)
Cr 0.250 0.250 0.250
Cr 0.250 0.250 0.750
Cr 0.250 0.750 0.250
Cr 0.250 0.750 0.750
Cr 0.750 0.250 0.250
Cr 0.750 0.250 0.750
Cr 0.750 0.750 0.250
Cr 0.750 0.750 0.750
I 0.000 0.000 0.000
I 0.000 0.500 0.500
I 0.500 0.000 0.500
I 0.500 0.500 0.000
N 0.000 0.000 0.500
N 0.000 0.500 0.000
N 0.500 0.000 0.000
N 0.500 0.500 0.500

[10]
Density functional theory data (meta-GGA SCAN) for CrINO2 at its PBEsol-relaxed geometry.

Computed properties:
- Space-group type: No. 123
- ρ: 6.00 Mg/m³
- Raw formation energy: 5.384 eV per formula unit
- Density of states at the Fermi level: 0.383 states/eV/atom

abc: 3.878 3.878 4.140
angles: 90.00 90.00 90.00
Element x y z (fractional)
Cr 0.000 0.000 0.000
I 0.500 0.500 0.000
N 0.500 0.500 0.500
O 0.000 0.500 0.500
O 0.500 0.000 0.500

[11]
Density functional theory data (meta-GGA SCAN) for CrINO2 at its PBEsol-relaxed geometry.

Computed properties:
- Space-group type: No. 123
- ρ: 5.49 Mg/m³
- Raw formation energy: -0.462 eV per formula unit
- Density of states at the Fermi level: 0.272 states/eV/atom

abc: 3.466 3.466 5.663
angles: 90.00 90.00 90.00
Element x y z (fractional)
Cr 0.000 0.000 0.000
I 0.000 0.000 0.500
N 0.500 0.500 0.500
O 0.000 0.500 0.000
O 0.500 0.000 0.000

[12]
Density functional theory data (meta-GGA SCAN) for CrPIN2 at its PBEsol-relaxed geometry.

Computed properties:
- Space-group type: No. 123
- ρ: 4.87 Mg/m³
- Raw formation energy: 5.123 eV per formula unit
- Density of states at the Fermi level: 0.356 states/eV/atom

abc: 3.569 3.569 6.363
angles: 90.00 90.00 90.00
Element x y z (fractional)
Cr 0.000 0.000 0.000
P 0.500 0.500 0.500
I 0.500 0.500 0.000
N 0.000 0.500 0.500
N 0.500 0.000 0.500